--- 1 ---
{"formula": "AlSbWI2", "functional": "PBE", "state": "optimized geometry", "space_group": "No. 123", "cell": [[5.346, 0.000, 0.000], [0.000, 5.346, 0.000], [0.000, 0.000, 5.560]], "species": ["I", "I", "Sb", "W", "Al"], "frac_coords": [[0.000, 0.500, 0.000], [0.500, 0.000, 0.000], [0.000, 0.000, 0.500], [0.500, 0.500, 0.500], [0.000, 0.000, 0.000]]}

--- 2 ---
{"formula": "AlSbWI2", "functional": "PBE", "state": "optimized geometry", "space_group": "No. 123", "cell": [[5.730, 0.000, 0.000], [0.000, 5.730, 0.000], [0.000, 0.000, 5.237]], "species": ["W", "I", "I", "Al", "Sb"], "frac_coords": [[0.000, 0.000, 0.000], [0.500, 0.000, 0.000], [0.000, 0.500, 0.000], [0.500, 0.500, 0.500], [0.000, 0.000, 0.500]]}

If you had to name the least stable structure above, which would it be? It would be 1.